No. 1
Density functional theory data (PBE-GGA) for a relaxed NaTm2IrO5 crystal.

Structure (POSCAR):
```
NaTm2IrO5
1.0
-1.981 2.822 5.425
1.981 -2.822 5.425
1.981 2.822 -5.425
Na Tm Ir O
1 2 1 5
Direct
0.000 0.000 0.000 Na
0.291 0.791 0.500 Tm
0.709 0.209 0.500 Tm
0.500 0.500 0.000 Ir
0.120 0.349 0.771 O
0.422 0.651 0.771 O
0.500 0.000 0.500 O
0.578 0.349 0.229 O
0.880 0.651 0.229 O
```

Computed properties:
Symmetry: Immm, No. 71
Density of states at the Fermi level (states/eV/atom): 0.1101

No. 2
Density functional theory data (PBE-GGA) for a relaxed NaTmIr2O8 crystal.

Structure (POSCAR):
```
NaTmIr2O8
1.0
5.711 0.000 0.000
-2.855 4.946 0.000
0.000 0.000 6.906
Na Tm Ir O
1 1 2 8
Direct
0.000 0.000 0.000 Na
0.000 0.000 0.500 Tm
0.333 0.667 0.457 Ir
0.667 0.333 0.543 Ir
0.065 0.383 0.627 O
0.318 0.935 0.627 O
0.333 0.667 0.195 O
0.383 0.318 0.373 O
0.617 0.682 0.627 O
0.667 0.333 0.805 O
0.682 0.065 0.373 O
0.935 0.617 0.373 O
```

Computed properties:
Symmetry: P-3, No. 147
Density of states at the Fermi level (states/eV/atom): 0.3904

No. 3
Density functional theory data (PBE-GGA) for a relaxed Na3Tm2IrO6 crystal.

Structure (POSCAR):
```
Na3Tm2IrO6
1.0
2.806 -4.850 0.000
2.806 4.850 0.000
-1.841 0.000 5.591
Na Tm Ir O
3 2 1 6
Direct
0.000 0.000 0.000 Na
0.342 0.658 0.000 Na
0.658 0.342 0.000 Na
0.167 0.833 0.500 Tm
0.833 0.167 0.500 Tm
0.500 0.500 0.500 Ir
0.106 0.428 0.285 O
0.247 0.247 0.713 O
0.428 0.106 0.285 O
0.572 0.894 0.715 O
0.753 0.753 0.287 O
0.894 0.572 0.715 O
```

Computed properties:
Symmetry: C2/m, No. 12
Density of states at the Fermi level (states/eV/atom): 0.0000

No. 4
Density functional theory data (PBE-GGA) for a relaxed Na2TmIrO4 crystal.

Structure (POSCAR):
```
Na2TmIrO4
1.0
5.296 0.000 0.000
0.000 3.309 0.000
-1.936 0.000 5.580
Na Tm Ir O
2 1 1 4
Direct
0.000 0.000 0.000 Na
0.500 0.500 0.000 Na
0.000 0.500 0.500 Tm
0.500 0.000 0.500 Ir
0.245 0.000 0.721 O
0.289 0.500 0.293 O
0.711 0.500 0.707 O
0.755 0.000 0.279 O
```

Computed properties:
Symmetry: P2/m, No. 10

No. 5
Density functional theory data (PBE-GGA) for a relaxed NaUIrO6 crystal.

Structure (POSCAR):
```
NaUIrO6
1.0
5.356 0.000 0.000
-2.678 4.639 0.000
0.000 0.000 9.269
Na U Ir O
2 2 2 12
Direct
0.333 0.667 0.250 Na
0.667 0.333 0.750 Na
0.000 0.000 0.000 U
0.000 0.000 0.500 U
0.333 0.667 0.750 Ir
0.667 0.333 0.250 Ir
0.056 0.352 0.625 O
0.056 0.703 0.875 O
0.297 0.352 0.875 O
0.297 0.944 0.625 O
0.352 0.056 0.125 O
0.352 0.297 0.375 O
0.648 0.703 0.625 O
0.648 0.944 0.875 O
0.703 0.056 0.375 O
0.703 0.648 0.125 O
0.944 0.297 0.125 O
0.944 0.648 0.375 O
```

Computed properties:
Symmetry: P-31c, No. 163
Density of states at the Fermi level (states/eV/atom): 0.7443

no.,formation energy from raw total energies (eV/atom)
1,-2.295
2,-1.043
3,-2.207
4,-1.897
5,-1.877